Entry from the Alexandria database: crystalline SrCa2Si2 at its relaxed geometry (PBE).

Properties
Its symmetry is I4/mmm (139). As for the size of the total moment: 0.00 μB per formula unit. For the formation energy (no corrections), the calculation gives -0.02 eV per atom. The calculation puts the energy above the most stable polymorph in this dataset at 0.323 eV per atom.

Structure (POSCAR):
```
SrCa2Si2
1.0
-4.593 -2.789 0.760
1.569 -1.207 5.053
-3.921 2.464 4.721
Sr Ca Si
1 2 2
direct
0.000 0.000 0.000
0.336 0.336 0.329
0.664 0.664 0.671
0.750 0.250 0.500
0.250 0.750 0.500
```

Entry from the Alexandria database: crystalline SrCa2Si6 at its relaxed geometry (PBE).

Properties
Its symmetry is P6/mmm (191). As for the size of the total moment: 0.00 μB per formula unit. For the formation energy (no corrections), the calculation gives -0.30 eV per atom. The calculation puts the energy above the most stable polymorph in this dataset at 0.062 eV per atom.

Structure (POSCAR):
```
SrCa2Si6
1.0
-0.508 1.777 4.050
-6.981 -1.107 -0.390
4.227 -4.985 2.718
Sr Ca Si
1 2 6
direct
0.000 0.000 0.000
0.000 0.333 0.667
0.000 0.667 0.333
0.500 0.335 0.335
0.500 0.665 0.665
0.500 0.000 0.665
0.500 0.665 0.000
0.500 0.335 0.000
0.500 0.000 0.335
```

Entry from the Alexandria database: crystalline Sr2CaSi at its relaxed geometry (PBE).

Properties
Its symmetry is C2/m (12). As for the size of the total moment: 0.00 μB per formula unit. For the formation energy (no corrections), the calculation gives 0.00 eV per atom.

Structure (POSCAR):
```
Sr2CaSi
1.0
-0.523 -1.770 -4.348
2.728 -3.015 -2.404
-4.845 -8.553 2.625
Ca Si Sr
1 1 2
direct
0.750 0.750 0.750
0.250 0.250 0.250
0.974 0.974 0.080
0.526 0.526 0.420
```

Entry from the Alexandria database: crystalline SrCa2Si at its relaxed geometry (PBE).

Properties
Its symmetry is Immm (71). As for the size of the total moment: 0.00 μB per formula unit. For the formation energy (no corrections), the calculation gives -0.17 eV per atom.

Structure (POSCAR):
```
SrCa2Si
1.0
-4.118 -0.320 6.414
2.093 -2.736 6.806
0.789 4.781 -5.892
Ca Si Sr
2 1 1
direct
0.926 0.926 0.000
0.574 0.574 0.000
0.750 0.250 0.500
0.250 0.750 0.500
```

Entry from the Alexandria database: crystalline Sr2CaSi at its relaxed geometry (PBE).

Properties
Its symmetry is P4mm (99). As for the size of the total moment: 0.00 μB per formula unit. For the formation energy (no corrections), the calculation gives -0.12 eV per atom.

Structure (POSCAR):
```
Sr2CaSi
1.0
-0.868 2.512 2.697
-3.493 -1.443 0.219
3.206 -6.660 7.234
Ca Si Sr
1 1 2
direct
0.000 0.000 0.578
0.500 0.500 0.736
0.000 0.000 0.922
0.500 0.500 0.264
```

Entry from the Alexandria database: crystalline SrCa2Si6 at its relaxed geometry (PBE).

Properties
Its symmetry is C2/m (12). As for the size of the total moment: 0.00 μB per formula unit. For the formation energy (no corrections), the calculation gives -0.36 eV per atom. The calculation puts the energy above the most stable polymorph in this dataset at 0.000 eV per atom.

Structure (POSCAR):
```
SrCa2Si6
1.0
-3.632 0.917 -5.154
-4.166 -2.802 -3.923
-6.505 2.466 4.630
Sr Ca Si
1 2 6
direct
0.500 0.500 0.000
0.170 0.170 0.668
0.830 0.830 0.332
0.917 0.917 0.741
0.586 0.586 0.423
0.246 0.246 0.084
0.414 0.414 0.577
0.083 0.083 0.259
0.754 0.754 0.916
```

formation energy (no corrections) of number 3 (Sr2CaSi)?
0.00 eV per atom